Record 1
# YAgPt (SCAN, PBEsol geometry)
# Energy of formation from the pure elements, meV/atom: -830.5
# E_tot, eV per atom: -43.96
# Crystal system: tetragonal
data_YAgPt
_cell_length_a 3.6128
_cell_length_b 3.6128
_cell_length_c 8.9202
_cell_angle_alpha 90.00
_cell_angle_beta 90.00
_cell_angle_gamma 90.00
_symmetry_space_group_name_H-M 'I 4 m m'
_symmetry_Int_Tables_number 107
_symmetry_space_group_name_Hall 'I 4 -2'
loop_
_atom_site_label
_atom_site_fract_x
_atom_site_fract_y
_atom_site_fract_z
_atom_site_occupancy
Y1 0.0000 0.0000 0.0000 1
Ag1 0.0000 0.0000 0.3206 1
Pt1 0.0000 0.0000 0.6540 1

Record 2
# NaB15 (SCAN, PBEsol geometry)
# Energy of formation from the pure elements, meV/atom: -97.8
# E_tot, eV per atom: -7.33
# Crystal system: orthorhombic
data_NaB15
_cell_length_a 5.8189
_cell_length_b 10.2702
_cell_length_c 8.3653
_cell_angle_alpha 90.00
_cell_angle_beta 90.00
_cell_angle_gamma 90.00
_symmetry_space_group_name_H-M 'I m m a'
_symmetry_Int_Tables_number 74
_symmetry_space_group_name_Hall '-I 2b 2'
loop_
_atom_site_label
_atom_site_fract_x
_atom_site_fract_y
_atom_site_fract_z
_atom_site_occupancy
Na1 0.0000 0.2500 0.1604 1
B1 0.0000 0.0998 0.6546 1
B2 0.0000 0.1462 0.8916 1
B3 0.0000 0.1649 0.4550 1
B4 0.0000 0.2500 0.7496 1
B5 0.1608 0.0490 0.3349 1
B6 0.2482 0.0808 0.5374 1

Record 3
# CrH2 (SCAN, PBEsol geometry)
# E_tot, eV per atom: -8.40
# Crystal system: cubic
data_CrH2
_cell_length_a 4.0389
_cell_length_b 4.0389
_cell_length_c 4.0389
_cell_angle_alpha 90.00
_cell_angle_beta 90.00
_cell_angle_gamma 90.00
_symmetry_space_group_name_H-M 'F m -3 m'
_symmetry_Int_Tables_number 225
_symmetry_space_group_name_Hall '-F 4 2 3'
loop_
_atom_site_label
_atom_site_fract_x
_atom_site_fract_y
_atom_site_fract_z
_atom_site_occupancy
Cr1 0.0000 0.0000 0.0000 1
H1 0.2500 0.2500 0.2500 1

Record 4
# CrW (SCAN, PBEsol geometry)
# Energy of formation from the pure elements, meV/atom: 58.3
# E_tot, eV per atom: -43.98
# Crystal system: orthorhombic
data_CrW
_cell_length_a 3.0073
_cell_length_b 4.2328
_cell_length_c 8.4990
_cell_angle_alpha 90.00
_cell_angle_beta 90.00
_cell_angle_gamma 90.00
_symmetry_space_group_name_H-M 'I m m a'
_symmetry_Int_Tables_number 74
_symmetry_space_group_name_Hall '-I 2b 2'
loop_
_atom_site_label
_atom_site_fract_x
_atom_site_fract_y
_atom_site_fract_z
_atom_site_occupancy
Cr1 0.0000 0.2500 0.1273 1
W1 0.0000 0.2500 0.6211 1

Record 5
# Y2Cd (SCAN, PBEsol geometry)
# Energy of formation from the pure elements, meV/atom: -333.6
# E_tot, eV per atom: -29.03
# Crystal system: hexagonal
data_Y2Cd
_cell_length_a 5.2194
_cell_length_b 5.2194
_cell_length_c 6.8349
_cell_angle_alpha 90.00
_cell_angle_beta 90.00
_cell_angle_gamma 120.00
_symmetry_space_group_name_H-M 'P 63/m m c'
_symmetry_Int_Tables_number 194
_symmetry_space_group_name_Hall '-P 6c 2c'
loop_
_atom_site_label
_atom_site_fract_x
_atom_site_fract_y
_atom_site_fract_z
_atom_site_occupancy
Y1 0.0000 0.0000 0.0000 1
Y2 0.3333 0.6667 0.2500 1
Cd1 0.3333 0.6667 0.7500 1

Record 6
# Zr3Sc2 (SCAN, PBEsol geometry)
# Energy of formation from the pure elements, meV/atom: 84.3
# E_tot, eV per atom: -24.03
# E above lowest polymorph, meV/atom: 16
# Crystal system: orthorhombic
data_Zr3Sc2
_cell_length_a 10.3695
_cell_length_b 14.8735
_cell_length_c 5.8349
_cell_angle_alpha 90.00
_cell_angle_beta 90.00
_cell_angle_gamma 90.00
_symmetry_space_group_name_H-M 'F d d 2'
_symmetry_Int_Tables_number 43
_symmetry_space_group_name_Hall 'F 2 -2d'
loop_
_atom_site_label
_atom_site_fract_x
_atom_site_fract_y
_atom_site_fract_z
_atom_site_occupancy
Zr1 0.0000 0.0000 0.0000 1
Zr2 0.0550 0.3966 0.0596 1
Sc1 0.0411 0.3030 0.5794 1

Record 7
# Ba3In (SCAN, PBEsol geometry)
# Energy of formation from the pure elements, meV/atom: -220.5
# E_tot, eV per atom: -38.23
# Crystal system: cubic
data_Ba3In
_cell_length_a 5.5237
_cell_length_b 5.5237
_cell_length_c 5.5237
_cell_angle_alpha 90.00
_cell_angle_beta 90.00
_cell_angle_gamma 90.00
_symmetry_space_group_name_H-M 'P m -3 m'
_symmetry_Int_Tables_number 221
_symmetry_space_group_name_Hall '-P 4 2 3'
loop_
_atom_site_label
_atom_site_fract_x
_atom_site_fract_y
_atom_site_fract_z
_atom_site_occupancy
Ba1 0.0000 0.0000 0.5000 1
In1 0.5000 0.5000 0.5000 1

Record 8
# Na2LiScPd (SCAN, PBEsol geometry)
# Energy of formation from the pure elements, meV/atom: 1294.8
# E_tot, eV per atom: -10.27
# Crystal system: tetragonal
data_Na2LiScPd
_cell_length_a 5.6038
_cell_length_b 5.6038
_cell_length_c 4.9774
_cell_angle_alpha 90.00
_cell_angle_beta 90.00
_cell_angle_gamma 90.00
_symmetry_space_group_name_H-M 'P 4/m m m'
_symmetry_Int_Tables_number 123
_symmetry_space_group_name_Hall '-P 4 2'
loop_
_atom_site_label
_atom_site_fract_x
_atom_site_fract_y
_atom_site_fract_z
_atom_site_occupancy
Na1 0.0000 0.5000 0.0000 1
Li1 0.0000 0.0000 0.5000 1
Sc1 0.0000 0.0000 0.0000 1
Pd1 0.5000 0.5000 0.5000 1

Record 9
# UCoSi (SCAN, PBEsol geometry)
# E_tot, eV per atom: -43.97
# Formation energy without anion corrections, eV/f.u.: -1.1
# Crystal system: orthorhombic
data_UCoSi
_cell_length_a 7.2051
_cell_length_b 3.7164
_cell_length_c 6.6025
_cell_angle_alpha 90.00
_cell_angle_beta 90.00
_cell_angle_gamma 90.00
_symmetry_space_group_name_H-M 'P n m a'
_symmetry_Int_Tables_number 62
loop_
_symmetry_equiv_pos_as_xyz
'x,y,z'
'-x,-y,-z'
'-x+1/2,-y,z+1/2'
'x+1/2,y,-z+1/2'
'x+1/2,-y+1/2,-z+1/2'
'-x+1/2,y+1/2,z+1/2'
'-x,y+1/2,-z'
'x,-y+1/2,z'
loop_
_atom_site_label
_atom_site_fract_x
_atom_site_fract_y
_atom_site_fract_z
_atom_site_occupancy
U1 0.0059 0.2500 0.1432 1
Co1 0.1210 0.7500 0.4282 1
Si1 0.1977 0.2500 0.6154 1

Record 10
# NbAl3Cu (SCAN, PBEsol geometry)
# Energy of formation from the pure elements, meV/atom: 1170.8
# E_tot, eV per atom: -13.15
# Crystal system: cubic
data_NbAl3Cu
_cell_length_a 4.9059
_cell_length_b 4.9059
_cell_length_c 4.9059
_cell_angle_alpha 90.00
_cell_angle_beta 90.00
_cell_angle_gamma 90.00
_symmetry_space_group_name_H-M 'P m -3 m'
_symmetry_Int_Tables_number 221
_symmetry_space_group_name_Hall '-P 4 2 3'
loop_
_atom_site_label
_atom_site_fract_x
_atom_site_fract_y
_atom_site_fract_z
_atom_site_occupancy
Nb1 0.0000 0.0000 0.0000 1
Al1 0.0000 0.0000 0.5000 1
Cu1 0.5000 0.5000 0.5000 1

Record 11
# Tl2CS (SCAN, PBEsol geometry)
# E_tot, eV per atom: -40.44
# Formation energy without anion corrections, eV/f.u.: 2.7
# E above lowest polymorph, meV/atom: 0
# Crystal system: tetragonal
data_Tl2CS
_cell_length_a 5.6756
_cell_length_b 5.6756
_cell_length_c 11.0657
_cell_angle_alpha 90.00
_cell_angle_beta 90.00
_cell_angle_gamma 90.00
_symmetry_space_group_name_H-M 'I -4 2 d'
_symmetry_Int_Tables_number 122
_symmetry_space_group_name_Hall 'I -4 2bw'
loop_
_atom_site_label
_atom_site_fract_x
_atom_site_fract_y
_atom_site_fract_z
_atom_site_occupancy
Tl1 0.1774 0.2500 0.1250 1
C1 0.0000 0.0000 0.0000 1
S1 0.0000 0.0000 0.5000 1

Record 12
# ScFe2Pt (SCAN, PBEsol geometry)
# Energy of formation from the pure elements, meV/atom: -281.2
# E_tot, eV per atom: -30.45
# Crystal system: orthorhombic
data_ScFe2Pt
_cell_length_a 2.7291
_cell_length_b 3.9998
_cell_length_c 5.2052
_cell_angle_alpha 90.00
_cell_angle_beta 90.00
_cell_angle_gamma 90.00
_symmetry_space_group_name_H-M 'P m m m'
_symmetry_Int_Tables_number 47
loop_
_symmetry_equiv_pos_as_xyz
'x,y,z'
'-x,-y,-z'
'-x,-y,z'
'x,y,-z'
'x,-y,-z'
'-x,y,z'
'-x,y,-z'
'x,-y,z'
loop_
_atom_site_label
_atom_site_fract_x
_atom_site_fract_y
_atom_site_fract_z
_atom_site_occupancy
Sc1 0.0000 0.0000 0.0000 1
Fe1 0.5000 0.5000 0.2570 1
Pt1 0.0000 0.0000 0.5000 1